{
  "formula": "KRb2IBr",
  "functional": "PBE-GGA",
  "state": "relaxed",
  "lattice_angstrom": [[6.7656, 0.0000, 0.0000], [0.0000, 6.7656, 0.0000], [0.0000, 0.0000, 6.3534]],
  "species": ["K", "Rb", "Rb", "I", "Br"],
  "frac_coords": [[0.0000, 0.0000, 0.0000], [0.0000, 0.5000, 0.5000], [0.5000, 0.0000, 0.5000], [0.5000, 0.5000, 0.0000], [0.0000, 0.0000, 0.5000]],
  "space_group": "P4/mmm, No. 123",
  "raw_formation_energy_ev_per_atom": -1.081
}



{
  "formula": "AgAsSe2",
  "functional": "PBE-GGA",
  "state": "relaxed",
  "lattice_angstrom": [[-2.9850, 2.9850, 6.4052], [2.9850, -2.9850, 6.4052], [2.9850, 2.9850, -6.4052]],
  "species": ["Ag", "Ag", "As", "As", "Se", "Se", "Se", "Se"],
  "frac_coords": [[0.0000, 0.0000, 0.0000], [0.7500, 0.2500, 0.5000], [0.2500, 0.7500, 0.5000], [0.5000, 0.5000, 0.0000], [0.1361, 0.6250, 0.0111], [0.3750, 0.3861, 0.5111], [0.6139, 0.1250, 0.9889], [0.8750, 0.8639, 0.4889]],
  "space_group": "I-42d, No. 122",
  "raw_formation_energy_ev_per_atom": 0.011
}